VASP calculation (GGA-PBE) on a relaxed structure of Na4Zr3S8.

POSCAR file:
```
Na4Zr3S8
1.0
-6.354 1.135 4.033
-2.010 -4.961 5.410
0.946 2.476 7.974
Na Zr S
4 3 8
Direct
0.000 0.000 0.000
0.359 0.359 0.923
0.500 0.500 0.500
0.641 0.641 0.077
0.500 0.000 0.500
0.000 0.000 0.500
0.000 0.500 0.500
0.233 0.233 0.300
0.213 0.746 0.295
0.746 0.746 0.295
0.746 0.213 0.295
0.767 0.767 0.700
0.787 0.254 0.705
0.254 0.254 0.705
0.254 0.787 0.705
```

Computed properties:
* volume: 359.3 Å³ per cell
* raw total energy: -85.117 eV per cell
* formation energy (no corrections): -21.18 eV/f.u.